[1]
Compound: Pm2Y5Tl4
Source: Alexandria via LeMat-Bulk
Functional: PBE
Structure: relaxed

magnetization = 0.000 μB/atom
ΔH_f (0 K) = -9.7 kJ/mol of atoms

Lattice parameters (Å, degrees): 3.7447 8.9931 20.9179 90.00 90.00 90.00
Last column: nearest neighbours and their distance in Å.
Space group Immm (No. 71)
Symmetry-distinct sites (fractional):
Pm 0.0000 0.0000 0.0806 [4 per cell]  5 Tl 3.03-3.27, 1 Pm 3.37
Y 0.0000 0.2043 0.3461 [8 per cell]  2 Tl 3.12-3.27
Y 0.0000 0.5000 0.0000 [2 per cell]  4 Tl 3.06
Tl 0.0000 0.0000 0.2255 [4 per cell]  1 Pm 3.03, 2 Y 3.12
Tl 0.0000 0.2686 0.5000 [4 per cell]  4 Y 3.06-3.27, 4 Pm 3.27

***

[2]
Compound: PmY5Tl4
Source: Alexandria via LeMat-Bulk
Functional: PBE
Structure: relaxed

magnetization = 0.003 μB/atom
ΔH_f (0 K) = -29.0 kJ/mol of atoms

Lattice parameters (Å, degrees): 3.6309 3.6309 21.8046 90.00 90.00 90.00
Last column: nearest neighbours and their distance in Å.
Space group P4/mmm (No. 123)
Symmetry-distinct sites (fractional):
Pm 0.0000 0.0000 0.0000 [1 per cell]  8 Y 3.63, 4 Pm 3.63
Y 0.5000 0.5000 0.1174 [2 per cell]  4 Tl 3.29, 4 Pm 3.63, 4 Y 3.63
Y 0.5000 0.5000 0.3077 [2 per cell]  8 Tl 3.31-3.32, 4 Y 3.63
Y 0.5000 0.5000 0.5000 [1 per cell]  8 Tl 3.31, 4 Y 3.63
Tl 0.0000 0.0000 0.2119 [2 per cell]  8 Y 3.29-3.31, 4 Tl 3.63
Tl 0.0000 0.0000 0.4041 [2 per cell]  8 Y 3.31-3.32, 4 Tl 3.63

***

[3]
Compound: Pm2Y3Tl4
Source: Alexandria via LeMat-Bulk
Functional: PBE
Structure: relaxed

magnetization = 0.000 μB/atom
ΔH_f (0 K) = -24.5 kJ/mol of atoms

Lattice parameters (Å, degrees): 7.2342 16.4225 9.2418 90.00 90.00 90.00
Last column: nearest neighbours and their distance in Å.
Space group Cmce (No. 64)
Symmetry-distinct sites (fractional):
Pm 0.0000 0.1100 0.0758 [8 per cell]  3 Tl 3.29-3.48
Y 0.0000 0.0000 0.5000 [4 per cell]  6 Tl 2.96-3.12
Y 0.2500 0.2123 0.7500 [8 per cell]  5 Tl 3.07-3.27
Tl 0.0000 0.1883 0.4589 [8 per cell]  5 Y 3.11-3.27
Tl 0.2500 0.0256 0.7500 [8 per cell]  3 Y 2.96-3.07, 2 Pm 3.29

***

[4]
Compound: Pm2Y5Tl
Source: Alexandria via LeMat-Bulk
Functional: PBE
Structure: relaxed

magnetization = 0.000 μB/atom
ΔH_f (0 K) = 4.0 kJ/mol of atoms

Lattice parameters (Å, degrees): 6.4015 8.5970 9.8149 102.50 97.71 98.60
Last column: nearest neighbours and their distance in Å.
Space group P-1 (No. 2)
Symmetry-distinct sites (fractional):
Pm 0.0000 0.0000 0.0000 [1 per cell]  2 Pm 3.20, 2 Tl 3.39
Pm 0.0000 0.0000 0.5000 [1 per cell]  8 Y 3.31-3.52
Pm 0.5000 0.0000 0.0000 [1 per cell]  2 Pm 3.20, 2 Tl 3.41, 4 Y 3.44-3.45
Pm 0.5000 0.5000 0.5000 [1 per cell]  4 Y 3.25-3.53, 2 Tl 3.34
Y 0.0707 0.6852 0.6693 [2 per cell]  4 Y 3.34-3.53, 1 Tl 3.41, 1 Pm 3.52
Y 0.1964 0.6924 0.3308 [2 per cell]  2 Pm 3.25-3.31, 7 Y 3.30-3.59, 1 Tl 3.41
Y 0.2205 0.6225 0.9895 [2 per cell]  2 Tl 3.22-3.25, 5 Y 3.30-3.43, 1 Pm 3.44
Y 0.3045 0.2696 0.7820 [2 per cell]  5 Y 3.34-3.70, 2 Pm 3.35-3.72, 2 Tl 3.50-3.53
Y 0.4448 0.0806 0.3514 [2 per cell]  3 Pm 3.42-3.53, 5 Y 3.43-3.70, 1 Tl 3.44
Tl 0.3480 0.3525 0.1512 [2 per cell]  7 Y 3.22-3.53, 3 Pm 3.34-3.41

***

[5]
Compound: PmY2Tl
Source: Alexandria via LeMat-Bulk
Functional: PBE
Structure: relaxed

magnetization = 0.000 μB/atom
ΔH_f (0 K) = 11.5 kJ/mol of atoms
energy relative to the lowest polymorph listed for this composition = 0.317 eV per atom

Lattice parameters (Å, degrees): 5.9119 3.4720 12.8245 90.00 90.05 90.00
Last column: nearest neighbours and their distance in Å.
Space group P2_1/m (No. 11)
Symmetry-distinct sites (fractional):
Pm 0.2494 0.2500 0.1656 [2 per cell]  4 Tl 3.27-3.33, 2 Pm 3.47, 3 Y 3.48-3.63
Y 0.2501 0.2500 0.4485 [2 per cell]  10 Y 3.46-3.68, 1 Pm 3.63
Y 0.2503 0.7500 0.6916 [2 per cell]  1 Tl 3.24, 6 Y 3.46-3.57, 2 Pm 3.48
Tl 0.2506 0.7500 0.9440 [2 per cell]  1 Y 3.24, 4 Pm 3.27-3.33, 2 Tl 3.47

***

[6]
Compound: PmYTl2
Source: Alexandria via LeMat-Bulk
Functional: PBE
Structure: relaxed

magnetization = 0.000 μB/atom
ΔH_f (0 K) = -37.5 kJ/mol of atoms

Lattice parameters (Å, degrees): 3.8379 3.8379 7.6724 90.00 90.00 90.00
Last column: nearest neighbours and their distance in Å.
Space group P4/mmm (No. 123)
Symmetry-distinct sites (fractional):
Pm 0.0000 0.0000 0.0000 [1 per cell]  8 Tl 3.36
Y 0.0000 0.0000 0.5000 [1 per cell]  8 Tl 3.29
Tl 0.5000 0.5000 0.2584 [2 per cell]  4 Y 3.29, 4 Pm 3.36

***

[7]
Compound: PmY2Tl
Source: Alexandria via LeMat-Bulk
Functional: PBE
Structure: relaxed

magnetization = 0.239 μB/atom
ΔH_f (0 K) = -19.0 kJ/mol of atoms
energy relative to the lowest polymorph listed for this composition = 0.000 eV per atom

Lattice parameters (Å, degrees): 4.9300 4.9300 4.8570 90.00 90.00 90.00
Last column: nearest neighbours and their distance in Å.
Space group P4/mmm (No. 123)
Symmetry-distinct sites (fractional):
Pm 0.0000 0.0000 0.0000 [1 per cell]  8 Y 3.46, 4 Tl 3.49
Y 0.0000 0.5000 0.5000 [2 per cell]  4 Tl 3.46, 4 Pm 3.46, 4 Y 3.49
Tl 0.5000 0.5000 0.0000 [1 per cell]  8 Y 3.46, 4 Pm 3.49

***

[8]
Compound: Pm6Y8Tl
Source: Alexandria via LeMat-Bulk
Functional: PBE
Structure: relaxed

magnetization = 0.000 μB/atom
ΔH_f (0 K) = 7.0 kJ/mol of atoms

Lattice parameters (Å, degrees): 9.5384 9.5384 6.3685 90.00 90.00 120.00
Last column: nearest neighbours and their distance in Å.
Space group P-3 (No. 147)
Symmetry-distinct sites (fractional):
Pm 0.0915 0.6369 0.1859 [6 per cell]  1 Pm 3.30, 5 Y 3.42-3.67
Y 0.0386 0.7757 0.6912 [6 per cell]  1 Tl 3.06, 2 Y 3.38, 1 Pm 3.42
Y 0.3333 0.6667 0.6769 [2 per cell]  3 Y 3.45, 6 Pm 3.72-3.81
Tl 0.0000 0.0000 0.0000 [1 per cell]  6 Y 3.06